Record 1
Density functional theory data (PBE-GGA) for a relaxed structure of SrLiY2.

Unit cell a=7.0357 b=7.0357 c=5.7997 alpha=65.78 beta=65.78 gamma=31.14
Closest atoms and distances in Å follow each position.
Fractional coordinates of all 4 atoms:
Li 0.7500 0.7500 0.7500  4 Y 3.32, 4 Sr 3.46
Sr 0.2500 0.2500 0.2500  4 Li 3.46, 2 Sr 3.78
Y 0.0270 0.0270 0.9732  2 Li 3.32, 4 Y 3.52
Y 0.4730 0.4730 0.5268  2 Li 3.32, 4 Y 3.52

Results
density of states at the Fermi level: 1.779 states/eV/atom
spin magnetization: 0.35 μB/f.u.
E above lowest polymorph: 49 meV per atom
formation energy from the elements: 157 meV per atom
E_tot: -3.974 eV/atom

=====

Record 2
Density functional theory data (PBE-GGA) for a relaxed structure of Ni3H12Rh5.

Unit cell a=9.0996 b=9.0996 c=9.0996 alpha=109.47 beta=109.47 gamma=109.47
Closest atoms and distances in Å follow each position.
Fractional coordinates of all 80 atoms:
Ni 0.7500 0.3750 0.1250  8 H 1.89-1.90
Ni 0.8750 0.7500 0.1250  8 H 1.89-1.90
Ni 0.3750 0.7500 0.6250  8 H 1.89-1.90
Ni 0.2500 0.1250 0.3750  8 H 1.89-1.90
Ni 0.8750 0.1250 0.2500  8 H 1.89-1.90
Ni 0.3750 0.6250 0.2500  8 H 1.89-1.90
Ni 0.6250 0.3750 0.7500  8 H 1.89-1.90
Ni 0.1250 0.8750 0.7500  8 H 1.89-1.90
Ni 0.7500 0.8750 0.6250  8 H 1.89-1.90
Ni 0.6250 0.2500 0.3750  8 H 1.89-1.90
Ni 0.1250 0.2500 0.8750  8 H 1.89-1.90
Ni 0.2500 0.6250 0.8750  8 H 1.89-1.90
Rh 0.1250 0.3750 0.2500  4 H 1.73
Rh 0.0000 0.5000 0.0000  6 H 1.81
Rh 0.0000 0.0000 0.0000  6 H 1.81
Rh 0.3750 0.2500 0.1250  4 H 1.73
Rh 0.5000 0.0000 0.5000  6 H 1.81
Rh 0.5000 0.5000 0.0000  6 H 1.81
Rh 0.1250 0.7500 0.3750  4 H 1.73
Rh 0.7500 0.1250 0.8750  4 H 1.73
Rh 0.7500 0.6250 0.3750  4 H 1.73
Rh 0.3750 0.1250 0.7500  4 H 1.73
Rh 0.6250 0.8750 0.2500  4 H 1.73
Rh 0.5000 0.5000 0.5000  6 H 1.81
Rh 0.5000 0.0000 0.0000  6 H 1.81
Rh 0.0000 0.0000 0.5000  6 H 1.81
Rh 0.2500 0.3750 0.6250  4 H 1.73
Rh 0.2500 0.8750 0.1250  4 H 1.73
Rh 0.0000 0.5000 0.5000  6 H 1.81
Rh 0.8750 0.2500 0.6250  4 H 1.73
Rh 0.6250 0.7500 0.8750  4 H 1.73
Rh 0.8750 0.6250 0.7500  4 H 1.73
H 0.7282 0.1440 0.0616  2 Rh 1.73-1.81, 2 Ni 1.89-1.90, 1 H 1.92
H 0.3334 0.5616 0.4176  2 Rh 1.73-1.81, 2 Ni 1.89-1.90, 1 H 1.92
H 0.9384 0.3560 0.2718  2 Rh 1.73-1.81, 2 Ni 1.89-1.90, 1 H 1.92
H 0.5616 0.2282 0.1440  2 Rh 1.73-1.81, 2 Ni 1.89-1.90, 1 H 1.92
H 0.5842 0.7282 0.6666  2 Rh 1.73-1.81, 2 Ni 1.89-1.90, 1 H 1.92
H 0.9384 0.5824 0.1666  2 Rh 1.73-1.81, 2 Ni 1.89-1.90, 1 H 1.92
H 0.3334 0.7718 0.4158  2 Rh 1.73-1.81, 2 Ni 1.89-1.90, 1 H 1.92
H 0.0824 0.9158 0.1440  2 Rh 1.73-1.81, 2 Ni 1.89-1.90, 1 H 1.92
H 0.5824 0.9384 0.6666  2 Rh 1.73-1.81, 2 Ni 1.89-1.90, 1 H 1.92
H 0.7282 0.5842 0.1666  2 Rh 1.73-1.81, 2 Ni 1.89-1.90, 1 H 1.92
H 0.7718 0.4384 0.3560  2 Rh 1.73-1.81, 2 Ni 1.89-1.90, 1 H 1.92
H 0.8334 0.9176 0.0616  2 Rh 1.73-1.81, 2 Ni 1.89-1.90, 1 H 1.92
H 0.1440 0.7282 0.5616  2 Rh 1.73-1.81, 2 Ni 1.89-1.90, 1 H 1.92
H 0.3560 0.4176 0.0842  2 Rh 1.73-1.81, 2 Ni 1.89-1.90, 1 H 1.92
H 0.0842 0.9176 0.3560  2 Rh 1.73-1.81, 2 Ni 1.89-1.90, 1 H 1.92
H 0.4158 0.1440 0.5824  2 Rh 1.73-1.81, 2 Ni 1.89-1.90, 1 H 1.92
H 0.0842 0.1666 0.2282  2 Rh 1.73-1.81, 2 Ni 1.89-1.90, 1 H 1.92
H 0.4384 0.6666 0.0824  2 Rh 1.73-1.81, 2 Ni 1.89-1.90, 1 H 1.92
H 0.8334 0.9158 0.2718  2 Rh 1.73-1.81, 2 Ni 1.89-1.90, 1 H 1.92
H 0.1440 0.4158 0.0824  2 Rh 1.73-1.81, 2 Ni 1.89-1.90, 1 H 1.92
H 0.3560 0.9384 0.7718  2 Rh 1.73-1.81, 2 Ni 1.89-1.90, 1 H 1.92
H 0.5824 0.6440 0.4158  2 Rh 1.73-1.81, 2 Ni 1.89-1.90, 1 H 1.92
H 0.9176 0.8334 0.5616  2 Rh 1.73-1.81, 2 Ni 1.89-1.90, 1 H 1.92
H 0.7718 0.3334 0.9158  2 Rh 1.73-1.81, 2 Ni 1.89-1.90, 1 H 1.92
H 0.4176 0.3560 0.5842  2 Rh 1.73-1.81, 2 Ni 1.89-1.90, 1 H 1.92
H 0.0824 0.1666 0.4384  2 Rh 1.73-1.81, 2 Ni 1.89-1.90, 1 H 1.92
H 0.2282 0.6666 0.0842  2 Rh 1.73-1.81, 2 Ni 1.89-1.90, 1 H 1.92
H 0.1666 0.0842 0.7282  2 Rh 1.73-1.81, 2 Ni 1.89-1.90, 1 H 1.92
H 0.6440 0.0616 0.2282  2 Rh 1.73-1.81, 2 Ni 1.89-1.90, 1 H 1.92
H 0.8560 0.5842 0.9176  2 Rh 1.73-1.81, 2 Ni 1.89-1.90, 1 H 1.92
H 0.5616 0.3334 0.9176  2 Rh 1.73-1.81, 2 Ni 1.89-1.90, 1 H 1.92
H 0.5842 0.8560 0.4176  2 Rh 1.73-1.81, 2 Ni 1.89-1.90, 1 H 1.92
H 0.9158 0.8334 0.7718  2 Rh 1.73-1.81, 2 Ni 1.89-1.90, 1 H 1.92
H 0.9158 0.0824 0.6440  2 Rh 1.73-1.81, 2 Ni 1.89-1.90, 1 H 1.92
H 0.8560 0.2718 0.4384  2 Rh 1.73-1.81, 2 Ni 1.89-1.90, 1 H 1.92
H 0.1666 0.0824 0.9384  2 Rh 1.73-1.81, 2 Ni 1.89-1.90, 1 H 1.92
H 0.6440 0.5824 0.9158  2 Rh 1.73-1.81, 2 Ni 1.89-1.90, 1 H 1.92
H 0.4176 0.0616 0.3334  2 Rh 1.73-1.81, 2 Ni 1.89-1.90, 1 H 1.92
H 0.2718 0.4158 0.8334  2 Rh 1.73-1.81, 2 Ni 1.89-1.90, 1 H 1.92
H 0.2282 0.5616 0.6440  2 Rh 1.73-1.81, 2 Ni 1.89-1.90, 1 H 1.92
H 0.9176 0.0842 0.8560  2 Rh 1.73-1.81, 2 Ni 1.89-1.90, 1 H 1.92
H 0.6666 0.2282 0.5842  2 Rh 1.73-1.81, 2 Ni 1.89-1.90, 1 H 1.92
H 0.4384 0.7718 0.8560  2 Rh 1.73-1.81, 2 Ni 1.89-1.90, 1 H 1.92
H 0.0616 0.4176 0.8334  2 Rh 1.73-1.81, 2 Ni 1.89-1.90, 1 H 1.92
H 0.4158 0.2718 0.3334  2 Rh 1.73-1.81, 2 Ni 1.89-1.90, 1 H 1.92
H 0.0616 0.6440 0.7282  2 Rh 1.73-1.81, 2 Ni 1.89-1.90, 1 H 1.92
H 0.6666 0.4384 0.5824  2 Rh 1.73-1.81, 2 Ni 1.89-1.90, 1 H 1.92
H 0.2718 0.8560 0.9384  2 Rh 1.73-1.81, 2 Ni 1.89-1.90, 1 H 1.92

Results
density of states at the Fermi level: 0.458 states/eV/atom
spin magnetization: 0.00 μB/f.u.
E_tot: -4.637 eV/atom

=====

Record 3
Density functional theory data (PBE-GGA) for a relaxed structure of Cu2SnSe2S.

Unit cell a=6.6076 b=6.9170 c=6.9322 alpha=119.93 beta=90.00 gamma=90.00
Closest atoms and distances in Å follow each position.
Fractional coordinates of all 12 atoms:
Cu 0.8096 0.8325 0.3181  1 S 2.29, 3 Se 2.44-2.46
Cu 0.8096 0.5145 0.6819  1 S 2.29, 3 Se 2.44-2.46
Cu 0.3096 0.4855 0.3181  1 S 2.29, 3 Se 2.44-2.46
Cu 0.3096 0.1675 0.6819  1 S 2.29, 3 Se 2.44-2.46
Sn 0.3050 0.8237 0.0000  2 S 2.57-2.58, 2 Se 2.57
Sn 0.8050 0.1763 0.0000  2 S 2.57-2.58, 2 Se 2.57
Se 0.1765 0.8330 0.3549  3 Cu 2.44-2.46, 1 Sn 2.57
Se 0.1765 0.4782 0.6451  3 Cu 2.44-2.46, 1 Sn 2.57
Se 0.6765 0.1670 0.6451  3 Cu 2.44-2.46, 1 Sn 2.57
Se 0.6765 0.5218 0.3549  3 Cu 2.44-2.46, 1 Sn 2.57
S 0.6960 0.8200 0.0000  2 Cu 2.29
S 0.1960 0.1800 0.0000  2 Cu 2.29

Results
density of states at the Fermi level: 0.127 states/eV/atom
spin magnetization: 0.00 μB/f.u.
ΔE_f (raw): -0.280 eV/atom
E_tot: -4.162 eV/atom

=====

Record 4
Density functional theory data (PBE-GGA) for a relaxed structure of EuPuGe.

Unit cell a=5.0561 b=5.0561 c=5.0561 alpha=60.00 beta=60.00 gamma=60.00
Closest atoms and distances in Å follow each position.
Fractional coordinates of all 3 atoms:
Eu 0.0000 0.0000 0.0000  4 Ge 3.10
Ge 0.2500 0.2500 0.2500  4 Eu 3.10, 4 Pu 3.10
Pu 0.5000 0.5000 0.5000  4 Ge 3.10

Results
density of states at the Fermi level: 3.627 states/eV/atom
spin magnetization: 13.00 μB/f.u.
E above lowest polymorph: 0 meV per atom
formation energy from the elements: -228 meV per atom
E_tot: -9.969 eV/atom

=====

Record 5
Density functional theory data (PBE-GGA) for a relaxed structure of ScMnRu2.

Unit cell a=5.2499 b=5.2499 c=4.3215 alpha=65.67 beta=65.67 gamma=34.56
Closest atoms and distances in Å follow each position.
Fractional coordinates of all 4 atoms:
Mn 0.7388 0.7388 0.7615  6 Ru 2.67, 2 Sc 2.86
Ru 0.9986 0.9986 0.0010  4 Sc 2.66-2.67, 2 Mn 2.67, 2 Ru 2.67
Ru 0.2583 0.2583 0.2421  4 Mn 2.67, 2 Ru 2.67, 2 Sc 2.78
Sc 0.5043 0.5043 0.4954  6 Ru 2.66-2.78, 2 Mn 2.86

Results
density of states at the Fermi level: 0.809 states/eV/atom
spin magnetization: 3.62 μB/f.u.
formation energy from the elements: -134 meV per atom
E_tot: -8.647 eV/atom

=====

Record 6
Density functional theory data (PBE-GGA) for a relaxed structure of NiOsRh2.

Unit cell a=2.6891 b=4.5486 c=4.5248 alpha=90.00 beta=90.00 gamma=90.00
Closest atoms and distances in Å follow each position.
Fractional coordinates of all 4 atoms:
Ni 0.5000 0.0000 0.5000  4 Rh 2.63, 4 Os 2.64, 2 Ni 2.69
Os 0.0000 0.5000 0.5000  4 Rh 2.63, 4 Ni 2.64, 2 Os 2.69
Rh 0.0000 0.0000 0.0000  4 Ni 2.63, 6 Rh 2.64-2.69
Rh 0.5000 0.5000 0.0000  4 Os 2.63, 6 Rh 2.64-2.69

Results
density of states at the Fermi level: 1.638 states/eV/atom
spin magnetization: 0.99 μB/f.u.
E above lowest polymorph: 311 meV per atom
formation energy from the elements: 348 meV per atom
E_tot: -7.581 eV/atom